No. 1
The following is a DFT calculation (PBEsol) of LiMoAsO6 after structural relaxation.

Total DFT energy (no corrections) (eV per cell): -262.9
Density of states at the Fermi level (states/eV/f.u.): 0.0
Formation energy from raw total energies (eV/atom): -1.71

CIF file:
```
data_LiMoAsO6
_cell_length_a 9.372
_cell_length_b 4.919
_cell_length_c 8.916
_cell_angle_alpha 90.00
_cell_angle_beta 90.00
_cell_angle_gamma 90.00
_symmetry_space_group_name_H-M 'P n a 21'
_symmetry_Int_Tables_number 33
loop_
_symmetry_equiv_pos_as_xyz
'x,y,z'
'-x,-y,z+1/2'
'-x+1/2,y+1/2,z+1/2'
'x+1/2,-y+1/2,z'
loop_
_atom_site_label
_atom_site_type_symbol
_atom_site_fract_x
_atom_site_fract_y
_atom_site_fract_z
_atom_site_occupancy
Li1 Li 0.123 0.103 0.000 1
Mo1 Mo 0.161 0.110 0.647 1
As1 As 0.052 0.401 0.328 1
O1 O 0.005 0.796 0.682 1
O2 O 0.014 0.236 0.495 1
O3 O 0.023 0.285 0.821 1
O4 O 0.236 0.445 0.322 1
O5 O 0.246 0.905 0.145 1
O6 O 0.248 0.421 0.020 1
```

No. 2
The following is a DFT calculation (PBEsol) of VOF after structural relaxation.

Total DFT energy (no corrections) (eV per cell): -389.3
Density of states at the Fermi level (states/eV/f.u.): 2.4
Formation energy from raw total energies (eV/atom): -2.51

CIF file:
```
data_VOF
_cell_length_a 12.068
_cell_length_b 6.539
_cell_length_c 6.527
_cell_angle_alpha 90.00
_cell_angle_beta 90.00
_cell_angle_gamma 90.00
_symmetry_space_group_name_H-M 'A m a 2'
_symmetry_Int_Tables_number 40
loop_
_symmetry_equiv_pos_as_xyz
'x,y,z'
'-x,-y,z'
'-x+1/2,y,z'
'x+1/2,-y,z'
'x,y+1/2,z+1/2'
'-x,-y+1/2,z+1/2'
'-x+1/2,y+1/2,z+1/2'
'x+1/2,-y+1/2,z+1/2'
loop_
_atom_site_label
_atom_site_type_symbol
_atom_site_fract_x
_atom_site_fract_y
_atom_site_fract_z
_atom_site_occupancy
V1 V 0.000 0.000 0.000 1
V2 V 0.125 0.028 0.467 1
V3 V 0.250 0.482 0.435 1
O1 O 0.000 0.000 0.282 1
O2 O 0.126 0.314 0.467 1
O3 O 0.250 0.005 0.656 1
F1 F 0.000 0.000 0.676 1
F2 F 0.125 0.206 0.969 1
F3 F 0.250 0.014 0.256 1
```

No. 3
The following is a DFT calculation (PBEsol) of Sc2CuSe after structural relaxation.

Total DFT energy (no corrections) (eV per cell): -24.6
Density of states at the Fermi level (states/eV/f.u.): 3.1
Formation energy from raw total energies (eV/atom): -0.80

CIF file:
```
data_Sc2CuSe
_cell_length_a 3.765
_cell_length_b 3.765
_cell_length_c 5.398
_cell_angle_alpha 90.00
_cell_angle_beta 90.00
_cell_angle_gamma 90.00
_symmetry_space_group_name_H-M 'P 4/m m m'
_symmetry_Int_Tables_number 123
_symmetry_space_group_name_Hall '-P 4 2'
loop_
_atom_site_label
_atom_site_type_symbol
_atom_site_fract_x
_atom_site_fract_y
_atom_site_fract_z
_atom_site_occupancy
Sc1 Sc 0.000 0.000 0.000 1
Sc2 Sc 0.500 0.500 0.500 1
Cu1 Cu 0.000 0.000 0.500 1
Se1 Se 0.500 0.500 0.000 1
```

No. 4
The following is a DFT calculation (PBEsol) of In2Ge2Au after structural relaxation.

Total DFT energy (no corrections) (eV per cell): -35.9
Energy of formation (meV/atom): 360
Density of states at the Fermi level (states/eV/f.u.): 2.6

CIF file:
```
data_In2Ge2Au
_cell_length_a 4.697
_cell_length_b 4.697
_cell_length_c 10.445
_cell_angle_alpha 90.00
_cell_angle_beta 90.00
_cell_angle_gamma 90.00
_symmetry_space_group_name_H-M 'I 4/m m m'
_symmetry_Int_Tables_number 139
_symmetry_space_group_name_Hall '-I 4 2'
loop_
_atom_site_label
_atom_site_type_symbol
_atom_site_fract_x
_atom_site_fract_y
_atom_site_fract_z
_atom_site_occupancy
In1 In 0.000 0.500 0.250 1
Ge1 Ge 0.000 0.000 0.113 1
Au1 Au 0.000 0.000 0.500 1
```